1.
Pu2CoGe6Pt, optimized geometry, DFT PBE-GGA; E_tot = -7.284 eV per atom; formation energy = -32 kJ per mole of atoms; total magnetization = 11.56 Bohr magnetons per cell; crystal system = trigonal
1.0
6.087 0.000 0.000
-3.043 5.271 0.000
0.000 0.000 5.775
Pu Co Ge Pt
2 1 6 1
Direct
0.333 0.667 0.271 Pu
0.667 0.333 0.729 Pu
0.000 0.000 0.000 Co
0.192 0.384 0.774 Ge
0.192 0.808 0.774 Ge
0.384 0.192 0.226 Ge
0.616 0.808 0.774 Ge
0.808 0.192 0.226 Ge
0.808 0.616 0.226 Ge
0.000 0.000 0.500 Pt

***

2.
RbCo2GePt, optimized geometry, DFT PBE-GGA; E_tot = -2.841 eV per atom; formation energy = 225 kJ per mole of atoms; total magnetization = 2.74 Bohr magnetons per cell; crystal system = tetragonal
1.0
4.542 0.000 0.000
0.000 4.542 0.000
0.000 0.000 5.482
Rb Co Ge Pt
1 2 1 1
Direct
0.000 0.000 0.000 Rb
0.000 0.500 0.000 Co
0.500 0.000 0.000 Co
0.500 0.500 0.500 Ge
0.000 0.000 0.500 Pt

***

3.
Co2GeSbPt, optimized geometry, DFT PBE-GGA; E_tot = -4.887 eV per atom; total magnetization = 2.55 Bohr magnetons per cell; raw formation energy = 0.912 eV per atom; crystal system = tetragonal
1.0
4.309 0.000 0.000
0.000 4.309 0.000
0.000 0.000 5.223
Co Ge Sb Pt
2 1 1 1
Direct
0.000 0.500 0.000 Co
0.500 0.000 0.000 Co
0.000 0.000 0.000 Ge
0.000 0.000 0.500 Sb
0.500 0.500 0.500 Pt

***

4.
CoGeSbPt2, optimized geometry, DFT PBE-GGA; E_tot = -4.727 eV per atom; total magnetization = 1.55 Bohr magnetons per cell; raw formation energy = 0.858 eV per atom; crystal system = tetragonal
1.0
4.969 0.000 0.000
0.000 4.969 0.000
0.000 0.000 4.666
Co Ge Sb Pt
1 1 1 2
Direct
0.000 0.000 0.000 Co
0.500 0.500 0.000 Ge
0.000 0.000 0.500 Sb
0.000 0.500 0.500 Pt
0.500 0.000 0.500 Pt

***

5.
Sm2CoGe3Pt4, optimized geometry, DFT PBE-GGA; E_tot = -6.262 eV per atom; formation energy = -78 kJ per mole of atoms; total magnetization = 2.02 Bohr magnetons per cell; crystal system = tetragonal
1.0
4.289 0.000 0.000
0.000 4.289 0.000
0.000 0.000 10.174
Sm Co Ge Pt
2 1 3 4
Direct
0.000 0.500 0.242 Sm
0.500 0.000 0.758 Sm
0.500 0.500 0.000 Co
0.000 0.000 0.000 Ge
0.000 0.500 0.635 Ge
0.500 0.000 0.365 Ge
0.000 0.000 0.500 Pt
0.000 0.500 0.874 Pt
0.500 0.000 0.126 Pt
0.500 0.500 0.500 Pt

***

6.
Tb2CoGe3Pt4, optimized geometry, DFT PBE-GGA; E_tot = -6.230 eV per atom; formation energy = -76 kJ per mole of atoms; total magnetization = 1.89 Bohr magnetons per cell; crystal system = tetragonal
1.0
4.224 0.000 0.000
0.000 4.224 0.000
0.000 0.000 10.300
Tb Co Ge Pt
2 1 3 4
Direct
0.000 0.500 0.243 Tb
0.500 0.000 0.757 Tb
0.500 0.500 0.000 Co
0.000 0.000 0.000 Ge
0.000 0.500 0.637 Ge
0.500 0.000 0.363 Ge
0.000 0.000 0.500 Pt
0.000 0.500 0.871 Pt
0.500 0.000 0.129 Pt
0.500 0.500 0.500 Pt

***

7.
Tb2CoGe4Pt3, optimized geometry, DFT PBE-GGA; E_tot = -6.115 eV per atom; formation energy = -79 kJ per mole of atoms; total magnetization = 0.84 Bohr magnetons per cell; crystal system = tetragonal
1.0
4.136 0.000 0.000
0.000 4.136 0.000
0.000 0.000 10.659
Tb Co Ge Pt
2 1 4 3
Direct
0.000 0.500 0.239 Tb
0.500 0.000 0.761 Tb
0.500 0.500 0.000 Co
0.000 0.000 0.500 Ge
0.000 0.500 0.873 Ge
0.500 0.000 0.127 Ge
0.500 0.500 0.500 Ge
0.000 0.000 0.000 Pt
0.000 0.500 0.643 Pt
0.500 0.000 0.357 Pt

***

8.
Th2Co3Ge4Pt, optimized geometry, DFT PBE-GGA; E_tot = -6.767 eV per atom; formation energy = -68 kJ per mole of atoms; total magnetization = 0.85 Bohr magnetons per cell; crystal system = tetragonal
1.0
4.186 0.000 0.000
0.000 4.186 0.000
0.000 0.000 9.834
Th Co Ge Pt
2 3 4 1
Direct
0.000 0.500 0.244 Th
0.500 0.000 0.756 Th
0.000 0.500 0.880 Co
0.500 0.000 0.120 Co
0.500 0.500 0.500 Co
0.000 0.000 0.000 Ge
0.000 0.500 0.641 Ge
0.500 0.000 0.359 Ge
0.500 0.500 0.000 Ge
0.000 0.000 0.500 Pt